Compound: ZrTaZnH2
Source: Alexandria via LeMat-Bulk
Functional: PBE-GGA
Structure: relaxed

a b c (Å): 3.7469 4.9908 3.7469
angles (deg): 90.00 90.00 90.00
Closest atoms and distances in Å follow each position.
Atoms (fractional coordinates):
H 0.0000 0.0000 0.5000  2 Ta 1.87
H 0.5000 0.0000 0.0000  2 Ta 1.87
Zr 0.5000 0.5000 0.5000  4 Zn 2.65
Ta 0.0000 0.0000 0.0000  4 H 1.87
Zn 0.0000 0.5000 0.0000  2 Ta 2.50, 4 Zr 2.65

Values from the calculation:
Fermi-level density of states = 0.513 states/eV per atom
VASP energy = -26.7 eV per formula unit
calculated volume = 70.1 Å³ per cell



Compound: ZrTa3H
Source: Alexandria via LeMat-Bulk
Functional: PBE-GGA
Structure: relaxed

a b c (Å): 4.3152 4.3152 4.3152
angles (deg): 90.00 90.00 90.00
Closest atoms and distances in Å follow each position.
Atoms (fractional coordinates):
H 0.0000 0.0000 0.0000  6 Ta 2.16
Ta 0.0000 0.0000 0.5000  2 H 2.16
Ta 0.0000 0.5000 0.0000  2 H 2.16
Ta 0.5000 0.0000 0.0000  2 H 2.16
Zr 0.5000 0.5000 0.5000  12 Ta 3.05

Values from the calculation:
Fermi-level density of states = 1.327 states/eV per atom
VASP energy = -46.7 eV per formula unit
calculated volume = 80.4 Å³ per cell